Entry from Alexandria: crystalline CaWBr at its relaxed geometry (PBE-GGA).

Properties
- DOS at the Fermi energy (states/eV/f.u.) = 1.9
- distance to the lowest polymorph of the same formula (eV per formula unit) = 0.02
- spin magnetization (μB/atom) = 0.000
- calculated volume (Å³ per cell) = 64

Cell: 6.800 6.800 6.800 Å, 153.11 153.11 38.39°
Fractional positions:
Ca1 0.000 0.000 0.000
W1 0.675 0.675 0.000
Br1 0.319 0.319 0.000